# PBE-GGA La2NpMn2C4, relaxed
# Fermi-level density of states (states/eV per atom): 1.16
# SG: C2/m, No. 12
# Size of the total moment (μB per cell): 4.855
# Formation enthalpy at 0 K (eV per formula unit): -0.2
data_La2NpMn2C4
_symmetry_space_group_name_H-M 'P 1'
_symmetry_Int_Tables_number 1
_cell_length_a 3.454
_cell_length_b 6.933
_cell_length_c 6.049
_cell_angle_alpha 109.00
_cell_angle_beta 90.00
_cell_angle_gamma 104.42
loop_
_symmetry_equiv_pos_as_xyz
'x,y,z'
loop_
_atom_site_label
_atom_site_type_symbol
_atom_site_fract_x
_atom_site_fract_y
_atom_site_fract_z
Mn1 Mn 0.316 0.632 0.999
La1 La 0.867 0.734 0.468
C1 C 0.215 0.431 0.168
C2 C 0.454 0.908 0.217
La2 La 0.133 0.266 0.532
C3 C 0.785 0.569 0.832
Mn2 Mn 0.684 0.368 0.001
C4 C 0.546 0.092 0.783
Np1 Np 0.000 0.000 0.000